Compound: TlBPd
Source: OQMD
Functional: GGA-PBE
Structure: optimized geometry

The structure in POSCAR format:
```
TlBPd
1.0
0.000 2.892 2.892
2.892 0.000 2.892
2.892 2.892 0.000
Tl B Pd
1 1 1
direct
0.000 0.000 0.000 Tl
0.750 0.750 0.750 B
0.500 0.500 0.500 Pd
```

Calculated values
energy above the most stable polymorph in this dataset	0	meV per atom
space-group type	No. 216

Compound: RbTbSO
Source: OQMD
Functional: GGA-PBE
Structure: optimized geometry

The structure in POSCAR format:
```
RbTbSO
1.0
3.756 0.000 0.000
-1.878 3.253 0.000
0.000 0.000 14.362
Rb Tb S O
2 2 2 2
direct
0.000 0.000 0.000 Rb
0.333 0.667 0.500 Rb
0.667 0.333 0.280 Tb
0.667 0.333 0.720 Tb
0.333 0.667 0.167 S
0.333 0.667 0.833 S
0.000 0.000 0.353 O
0.000 0.000 0.647 O
```

Calculated values
energy above the most stable polymorph in this dataset	103	meV per atom
space-group type	No. 187
M_tot	0.0	Bohr magnetons per cell

Compound: NdPbO3
Source: OQMD
Functional: GGA-PBE
Structure: optimized geometry

The structure in POSCAR format:
```
NdPbO3
1.0
3.030 -3.046 0.000
3.030 3.046 0.000
0.000 0.000 4.297
Nd Pb O
1 1 3
direct
0.000 0.000 0.000 Nd
0.500 0.500 0.500 Pb
0.000 0.500 0.500 O
0.500 0.000 0.500 O
0.500 0.500 0.000 O
```

Calculated values
space-group type	No. 65
total DFT energy (no corrections)	-0.2239	hartree per atom
M_tot	0.0	Bohr magnetons per cell